Here is an optimized crystal structure of BeNbGaNi from the Open Quantum Materials Database. Energies are from GGA-PBE.

The space group is F-43m (No. 216) and the conventional cell measures 5.9413, 5.9413 and 5.9413 Å, with angles of 90.00, 90.00 and 90.00 degrees. The asymmetric unit holds Be at (0.0000, 0.0000, 0.0000), Nb at (0.2500, 0.2500, 0.2500), Ga at (0.0000, 0.0000, 0.5000) and Ni at (0.2500, 0.2500, 0.7500).

Its crystal system is cubic. As for the total energy: -89.9 eV per cell. The volume comes out at 210 Å³/cell. Its total moment is 0.047 μB/atom.